Below is an optimized crystal structure of LiSbTe2Ru, with properties calculated at the GGA-PBEsol level.

Space-group type ... P4/mmm
VASP energy ... -4.49 eV/atom
Spin magnetization ... 0.000 μB/atom
Density of states at the Fermi level ... 5.167 states/eV/cell

```
data_LiSbTe2Ru
_space_group_name_H-M_alt 'P 1'
_space_group_IT_number 1
_space_group_name_Hall 'P 1'
_cell_length_a 4.923
_cell_length_b 5.346
_cell_length_c 5.346
_cell_angle_alpha 90.00
_cell_angle_beta 90.00
_cell_angle_gamma 90.00
loop_
_atom_site_label
_atom_site_fract_x
_atom_site_fract_y
_atom_site_fract_z
Te1 0.000 0.000 0.500
Te2 0.000 0.500 0.000
Sb1 0.500 0.000 0.000
Ru1 0.000 0.000 0.000
Li1 0.500 0.500 0.500
```

***

Below is an optimized crystal structure of NbAlAuS2, with properties calculated at the GGA-PBEsol level.

Space-group type ... P4/mmm
VASP energy ... -4.57 eV/atom
Spin magnetization ... 0.582 μB/atom
Density of states at the Fermi level ... 4.228 states/eV/cell

```
data_NbAlAuS2
_space_group_name_H-M_alt 'P 1'
_space_group_IT_number 1
_space_group_name_Hall 'P 1'
_cell_length_a 4.818
_cell_length_b 4.818
_cell_length_c 4.668
_cell_angle_alpha 90.00
_cell_angle_beta 90.00
_cell_angle_gamma 90.00
loop_
_atom_site_label
_atom_site_fract_x
_atom_site_fract_y
_atom_site_fract_z
S1 0.500 0.000 0.000
S2 0.000 0.500 0.000
Au1 0.000 0.000 0.000
Al1 0.000 0.000 0.500
Nb1 0.500 0.500 0.500
```

***

Below is an optimized crystal structure of SrAg3Pb, with properties calculated at the GGA-PBEsol level.

Space-group type ... Pm-3m
VASP energy ... -2.19 eV/atom
Spin magnetization ... 0.000 μB/atom
Density of states at the Fermi level ... 1.781 states/eV/cell
DFT formation energy ... 0.965 eV per atom

```
data_SrAg3Pb
_space_group_name_H-M_alt 'P 1'
_space_group_IT_number 1
_space_group_name_Hall 'P 1'
_cell_length_a 5.453
_cell_length_b 5.453
_cell_length_c 5.453
_cell_angle_alpha 90.00
_cell_angle_beta 90.00
_cell_angle_gamma 90.00
loop_
_atom_site_label
_atom_site_fract_x
_atom_site_fract_y
_atom_site_fract_z
Ag1 0.000 0.500 0.000
Ag2 0.500 0.000 0.000
Ag3 0.000 0.000 0.500
Pb1 0.500 0.500 0.500
Sr1 0.000 0.000 0.000
```

***

Below is an optimized crystal structure of In2TeIr, with properties calculated at the GGA-PBEsol level.

Space-group type ... P4/mmm
VASP energy ... -4.44 eV/atom
Spin magnetization ... 0.000 μB/atom
Density of states at the Fermi level ... 2.165 states/eV/cell

```
data_In2TeIr
_space_group_name_H-M_alt 'P 1'
_space_group_IT_number 1
_space_group_name_Hall 'P 1'
_cell_length_a 4.032
_cell_length_b 4.549
_cell_length_c 4.549
_cell_angle_alpha 90.00
_cell_angle_beta 90.00
_cell_angle_gamma 90.00
loop_
_atom_site_label
_atom_site_fract_x
_atom_site_fract_y
_atom_site_fract_z
In1 0.000 0.000 0.500
In2 0.000 0.500 0.000
Te1 0.500 0.000 0.000
Ir1 0.500 0.500 0.500
```